Density functional theory data (PBE) for K4Y3PuSe8 after structural relaxation.

Output
The density of states at the Fermi level comes out at 12.4 states/eV/f.u. Its space group is No. 166. For the total energy, the calculation gives -92.97 eV for the cell shown.

a b c (Å): 9.098 9.098 9.098
angles (deg): 55.55 55.55 55.55
Fractional coordinates of all 16 atoms:
K 0.000 0.000 0.000
K 0.000 0.500 0.500
K 0.500 0.000 0.500
K 0.500 0.500 0.000
Y 0.000 0.000 0.500
Y 0.000 0.500 0.000
Y 0.500 0.000 0.000
Pu 0.500 0.500 0.500
Se 0.232 0.737 0.737
Se 0.235 0.235 0.235
Se 0.263 0.263 0.768
Se 0.263 0.768 0.263
Se 0.737 0.232 0.737
Se 0.737 0.737 0.232
Se 0.765 0.765 0.765
Se 0.768 0.263 0.263